Density functional theory data (PBE with a Hubbard U) for crystalline Hg2WF8 at its relaxed geometry.

CIF file:
```
data_Hg2WF8
_symmetry_space_group_name_H-M 'P -3 m 1'
_symmetry_Int_Tables_number 164
_symmetry_space_group_name_Hall '-P 3 2"'
_cell_length_a 7.4641
_cell_length_b 7.4641
_cell_length_c 4.3972
_cell_angle_alpha 90.00
_cell_angle_beta 90.00
_cell_angle_gamma 120.00
loop_
_atom_site_label
_atom_site_type_symbol
_atom_site_fract_x
_atom_site_fract_y
_atom_site_fract_z
_atom_site_occupancy
Hg1 Hg 0.3333 0.6667 0.2419 1
W1 W 0.0000 0.0000 0.5000 1
F1 F 0.1268 0.2536 0.2635 1
F2 F 0.3333 0.6667 0.7427 1
```

Values from the calculation:
Calculated total energy   -4.049 eV per atom